NaZnRhPb2, relaxed, DFT PBE; DOS at the Fermi energy = 3.6 states/eV/cell; formation enthalpy at 0 K = 718 meV/atom; spin magnetization = 0.00 μB per formula unit; symmetry = P4/mmm (123)
1.0
5.265 0.000 0.000
0.000 5.265 0.000
0.000 0.000 4.942
Na Zn Rh Pb
1 1 1 2
direct
0.000 0.000 0.000 Na
0.000 0.000 0.500 Zn
0.500 0.500 0.000 Rh
0.000 0.500 0.500 Pb
0.500 0.000 0.500 Pb